Compound: ZrSb3Rh
Source: the Alexandria database
Functional: PBE
Structure: relaxed

Lattice parameters (Å, degrees): 5.450 5.450 5.450 90.00 90.00 90.00
Atoms (fractional coordinates):
1 Zr 0.000 0.000 0.000
2 Sb 0.000 0.000 0.500
3 Sb 0.000 0.500 0.000
4 Sb 0.500 0.000 0.000
5 Rh 0.500 0.500 0.500

Calculated values
* mass density: 5.74 g cm⁻³
* formation energy from raw total energies: 0.84 eV per atom
* SG: No. 221
* excess energy over the best structure of this formula in the dataset: 460 meV per atom

---

Compound: CeHgBiAu
Source: the Alexandria database
Functional: PBE
Structure: relaxed

Lattice parameters (Å, degrees): 5.264 5.264 5.264 60.00 60.00 60.00
Atoms (fractional coordinates):
1 Ce 0.000 0.000 0.000
2 Hg 0.750 0.750 0.750
3 Bi 0.500 0.500 0.500
4 Au 0.250 0.250 0.250

Calculated values
* ΔE_f: -0.432 eV/atom
* mass density: 12.02 g cm⁻³
* SG: No. 216